*1*
The following is a DFT calculation (PBE) of an optimized crystal structure of TlCuSn2.

POSCAR file:
```
TlCuSn2
1.0
3.334 0.000 0.000
0.000 3.334 0.000
0.000 0.000 8.835
Tl Sn Cu
1 2 1
Direct
0.500 0.500 0.500
0.000 0.000 0.813
0.000 0.000 0.187
0.500 0.500 0.000
```

Computed properties:
- Fermi-level density of states (states/eV/cell) = 1.69
- total moment (μB per formula unit) = 0.00
- ρ (g/cm³) = 8.54

*2*
The following is a DFT calculation (PBE) of an optimized crystal structure of TlCuSn2.

POSCAR file:
```
TlCuSn2
1.0
-4.695 -1.842 0.842
1.060 -4.046 -2.942
1.074 -7.176 5.811
Tl Sn Cu
2 4 2
Direct
0.000 0.000 0.000
0.750 0.250 0.500
0.545 0.125 0.250
0.205 0.625 0.250
0.375 0.455 0.750
0.875 0.795 0.750
0.500 0.500 0.000
0.250 0.750 0.500
```

Computed properties:
- Fermi-level density of states (states/eV/cell) = 0.83
- total moment (μB per formula unit) = 0.00
- ρ (g/cm³) = 7.50

*3*
The following is a DFT calculation (PBE) of an optimized crystal structure of TlCuSn2.

POSCAR file:
```
TlCuSn2
1.0
4.286 0.000 0.000
2.143 3.712 0.000
2.143 1.237 6.802
Tl Cu Sn
1 1 2
Direct
0.499 0.499 0.503
0.667 0.667 0.999
0.052 0.052 0.845
0.282 0.282 0.153
```

Computed properties:
- Fermi-level density of states (states/eV/cell) = 1.74
- total moment (μB per formula unit) = 0.00
- ρ (g/cm³) = 7.76

The calculated energies rank the structures as follows, beginning with the most stable: *3*, *1*, *2*.